No. 1
This record from Alexandria via LeMat-Bulk describes a geometry-optimized Y2IrW structure. The functional is PBE.

Calculated values
For the calculated formation energy, the calculation gives -109 meV/atom. For the energy above the most stable polymorph in this dataset, the calculation gives 0.0 kJ per mole of atoms.

a = 4.4544 Å, b = 4.1183 Å, c = 5.7258 Å
α = 90.00°, β = 112.83°, γ = 90.00°
Space group Pm (No. 6)
Symmetry-distinct sites (fractional):
Y 0.0000 0.0000 0.0000 (multiplicity 1)
Y 0.2964 0.5000 0.5945 (multiplicity 1)
Ir 0.7121 0.0000 0.4269 (multiplicity 1)
W 0.5921 0.5000 0.1841 (multiplicity 1)



No. 2
This record from Alexandria via LeMat-Bulk describes a geometry-optimized YIr2W structure. The functional is PBE.

Calculated values
For the calculated formation energy, the calculation gives -8 meV/atom. For the energy above the most stable polymorph in this dataset, the calculation gives 32.9 kJ per mole of atoms.

a = 3.9805 Å, b = 3.9960 Å, c = 8.7587 Å
α = 90.00°, β = 90.00°, γ = 90.00°
Space group Imm2 (No. 44)
Symmetry-distinct sites (fractional):
Y 0.0000 0.0000 0.0000 (multiplicity 2)
Ir 0.0000 0.0000 0.4990 (multiplicity 2)
Ir 0.0000 0.5000 0.2497 (multiplicity 2)
W 0.0000 0.5000 0.7501 (multiplicity 2)



No. 3
This record from Alexandria via LeMat-Bulk describes a geometry-optimized Y2IrW structure. The functional is PBE.

Calculated values
For the calculated formation energy, the calculation gives 122 meV/atom. For the energy above the most stable polymorph in this dataset, the calculation gives 22.3 kJ per mole of atoms.

a = 5.0852 Å, b = 5.0852 Å, c = 3.2417 Å
α = 90.00°, β = 90.00°, γ = 90.00°
Space group P4/mmm (No. 123)
Symmetry-distinct sites (fractional):
Y 0.0000 0.5000 0.0000 (multiplicity 2)
Ir 0.0000 0.0000 0.5000 (multiplicity 1)
W 0.5000 0.5000 0.5000 (multiplicity 1)



No. 4
This record from Alexandria via LeMat-Bulk describes a geometry-optimized Y3IrW structure. The functional is PBE.

Calculated values
For the calculated formation energy, the calculation gives 968 meV/atom. For the energy above the most stable polymorph in this dataset, the calculation gives 31.1 kJ per mole of atoms.

a = 5.2248 Å, b = 5.2248 Å, c = 5.2248 Å
α = 90.00°, β = 90.00°, γ = 90.00°
Space group Pm-3m (No. 221)
Symmetry-distinct sites (fractional):
Y 0.0000 0.0000 0.5000 (multiplicity 3)
Ir 0.5000 0.5000 0.5000 (multiplicity 1)
W 0.0000 0.0000 0.0000 (multiplicity 1)



No. 5
This record from Alexandria via LeMat-Bulk describes a geometry-optimized YIr2W structure. The functional is PBE.

Calculated values
For the calculated formation energy, the calculation gives 45 meV/atom. For the energy above the most stable polymorph in this dataset, the calculation gives 38.1 kJ per mole of atoms.

a = 3.3575 Å, b = 3.3575 Å, c = 6.5829 Å
α = 90.00°, β = 90.00°, γ = 90.00°
Space group P4mm (No. 99)
Symmetry-distinct sites (fractional):
Y 0.0000 0.0000 0.0000 (multiplicity 1)
Ir 0.0000 0.0000 0.5047 (multiplicity 1)
Ir 0.5000 0.5000 0.2525 (multiplicity 1)
W 0.5000 0.5000 0.6628 (multiplicity 1)



No. 6
This record from Alexandria via LeMat-Bulk describes a geometry-optimized YIr2W structure. The functional is PBE.

Calculated values
For the calculated formation energy, the calculation gives 11 meV/atom. For the energy above the most stable polymorph in this dataset, the calculation gives 34.8 kJ per mole of atoms.

a = 6.5631 Å, b = 6.5631 Å, c = 6.5631 Å
α = 90.00°, β = 90.00°, γ = 90.00°
Space group Fm-3m (No. 225)
Symmetry-distinct sites (fractional):
Y 0.0000 0.0000 0.0000 (multiplicity 4)
Ir 0.2500 0.2500 0.2500 (multiplicity 8)
W 0.0000 0.0000 0.5000 (multiplicity 4)



No. 7
This record from Alexandria via LeMat-Bulk describes a geometry-optimized YIr2W structure. The functional is PBE.

Calculated values
For the calculated formation energy, the calculation gives -128 meV/atom. For the energy above the most stable polymorph in this dataset, the calculation gives 21.4 kJ per mole of atoms.

a = 10.1423 Å, b = 2.9026 Å, c = 4.8709 Å
α = 90.00°, β = 102.39°, γ = 90.00°
Space group Cm (No. 8)
Symmetry-distinct sites (fractional):
Y 0.0000 0.0000 0.0000 (multiplicity 2)
Ir 0.0168 0.5000 0.4983 (multiplicity 2)
Ir 0.2417 0.0000 0.8190 (multiplicity 2)
W 0.2869 0.5000 0.3568 (multiplicity 2)



No. 8
This record from Alexandria via LeMat-Bulk describes a geometry-optimized Y2IrW structure. The functional is PBE.

Calculated values
For the calculated formation energy, the calculation gives -49 meV/atom. For the energy above the most stable polymorph in this dataset, the calculation gives 5.8 kJ per mole of atoms.

a = 3.1685 Å, b = 3.1685 Å, c = 8.9299 Å
α = 90.00°, β = 90.00°, γ = 90.00°
Space group P4mm (No. 99)
Symmetry-distinct sites (fractional):
Y 0.0000 0.0000 0.0000 (multiplicity 1)
Y 0.5000 0.5000 0.3608 (multiplicity 1)
Ir 0.0000 0.0000 0.5980 (multiplicity 1)
W 0.5000 0.5000 0.7581 (multiplicity 1)



No. 9
This record from Alexandria via LeMat-Bulk describes a geometry-optimized YIrW structure. The functional is PBE.

Calculated values
For the calculated formation energy, the calculation gives 183 meV/atom. For the energy above the most stable polymorph in this dataset, the calculation gives 25.0 kJ per mole of atoms.

a = 4.6132 Å, b = 4.6132 Å, c = 3.1186 Å
α = 90.00°, β = 90.00°, γ = 120.00°
Space group P3m1 (No. 156)
Symmetry-distinct sites (fractional):
Y 0.0000 0.0000 0.0000 (multiplicity 1)
Ir 0.3333 0.6667 0.4420 (multiplicity 1)
W 0.6667 0.3333 0.5541 (multiplicity 1)



No. 10
This record from Alexandria via LeMat-Bulk describes a geometry-optimized Y2IrW structure. The functional is PBE.

Calculated values
For the calculated formation energy, the calculation gives 346 meV/atom. For the energy above the most stable polymorph in this dataset, the calculation gives 43.9 kJ per mole of atoms.

a = 3.2143 Å, b = 3.2143 Å, c = 28.1896 Å
α = 90.00°, β = 90.00°, γ = 120.00°
Space group R-3m (No. 166, hexagonal axes)
Symmetry-distinct sites (fractional):
Y 0.0000 0.0000 0.2456 (multiplicity 6)
Ir 0.0000 0.0000 0.5000 (multiplicity 3)
W 0.0000 0.0000 0.0000 (multiplicity 3)



No. 11
This record from Alexandria via LeMat-Bulk describes a geometry-optimized YIr2W structure. The functional is PBE.

Calculated values
For the calculated formation energy, the calculation gives -5 meV/atom. For the energy above the most stable polymorph in this dataset, the calculation gives 33.3 kJ per mole of atoms.

a = 7.7243 Å, b = 2.9551 Å, c = 6.7268 Å
α = 90.00°, β = 97.34°, γ = 90.00°
Space group C2/m (No. 12)
Symmetry-distinct sites (fractional):
Y 0.0000 0.0000 0.0000 (multiplicity 2)
Ir 0.2464 0.5000 0.2949 (multiplicity 4)
W 0.0000 0.5000 0.5000 (multiplicity 2)



No. 12
This record from Alexandria via LeMat-Bulk describes a geometry-optimized YIrW structure. The functional is PBE.

Calculated values
For the calculated formation energy, the calculation gives 248 meV/atom. For the energy above the most stable polymorph in this dataset, the calculation gives 31.3 kJ per mole of atoms.

a = 6.4007 Å, b = 6.4007 Å, c = 6.4007 Å
α = 90.00°, β = 90.00°, γ = 90.00°
Space group F-43m (No. 216)
Symmetry-distinct sites (fractional):
Y 0.0000 0.0000 0.0000 (multiplicity 4)
Ir 0.2500 0.2500 0.2500 (multiplicity 4)
W 0.0000 0.0000 0.5000 (multiplicity 4)



No. 13
This record from Alexandria via LeMat-Bulk describes a geometry-optimized Y2IrW structure. The functional is PBE.

Calculated values
For the calculated formation energy, the calculation gives 525 meV/atom. For the energy above the most stable polymorph in this dataset, the calculation gives 61.1 kJ per mole of atoms.

a = 7.9032 Å, b = 7.9032 Å, c = 5.7333 Å
α = 90.00°, β = 90.00°, γ = 90.00°
Space group I-42d (No. 122)
Symmetry-distinct sites (fractional):
Y 0.2181 0.2500 0.1250 (multiplicity 8)
Ir 0.0000 0.0000 0.0000 (multiplicity 4)
W 0.0000 0.0000 0.5000 (multiplicity 4)



No. 14
This record from Alexandria via LeMat-Bulk describes a geometry-optimized YIr2W structure. The functional is PBE.

Calculated values
For the calculated formation energy, the calculation gives 14 meV/atom. For the energy above the most stable polymorph in this dataset, the calculation gives 35.0 kJ per mole of atoms.

a = 2.9098 Å, b = 4.0173 Å, c = 6.2257 Å
α = 90.00°, β = 90.00°, γ = 90.00°
Space group Pmm2 (No. 25)
Symmetry-distinct sites (fractional):
Y 0.0000 0.0000 0.0000 (multiplicity 1)
Ir 0.0000 0.0000 0.4997 (multiplicity 1)
Ir 0.5000 0.5000 0.2435 (multiplicity 1)
W 0.5000 0.5000 0.6580 (multiplicity 1)